Run w
Material: B2C
Method: DFT, PBE
State: relaxed

Cell lengths 2.6615, 2.6615, 15.5731 Å; angles 90.00, 90.00, 120.00 degrees
Fractional coordinates of all 12 atoms:
B  0.6667  0.3333  0.6947
B  0.0000  0.0000  0.9836
C  0.6667  0.3333  0.2329
C  0.3333  0.6667  0.6479
C  0.3333  0.6667  0.9862
B  0.6667  0.3333  0.3331
B  0.0000  0.0000  0.4025
B  0.6667  0.3333  0.8035
C  0.3333  0.6667  0.5582
B  0.0000  0.0000  0.8714
B  0.0000  0.0000  0.5112
B  0.3333  0.6667  0.2247

Properties
- V: 23.9 Å³/f.u.
- Size of the total moment: 0.00 μB per cell

=====

Run x
Material: B2C
Method: DFT, PBE
State: relaxed

Cell lengths 2.7635, 2.7635, 15.2911 Å; angles 90.00, 90.00, 120.00 degrees
Fractional coordinates of all 12 atoms:
B  0.3333  0.6667  0.5785
B  0.6667  0.3333  0.2085
B  0.3333  0.6667  0.7915
B  0.6667  0.3333  0.9087
B  0.6667  0.3333  0.4215
C  0.6667  0.3333  0.8009
B  0.0000  0.0000  0.5556
C  0.0000  0.0000  0.0462
C  0.0000  0.0000  0.9538
C  0.3333  0.6667  0.1991
B  0.0000  0.0000  0.4444
B  0.3333  0.6667  0.0913

Properties
- V: 25.3 Å³/f.u.
- Size of the total moment: 0.00 μB per cell

=====

What is the least stable structure shown above? It is run x.